# Be2AgB PBE-GGA relaxed
# * E_form: 0.583 eV/atom
# * crystal system: tetragonal
data_Be2AgB
_cell_length_a 3.952
_cell_length_b 3.952
_cell_length_c 12.469
_cell_angle_alpha 90.00
_cell_angle_beta 90.00
_cell_angle_gamma 90.00
_space_group_name_H-M_alt 'I 41/a m d'
_space_group_IT_number 141
loop_
_space_group_symop_operation_xyz
'x,y,z'
'-x,-y,-z'
'-y+1/4,x+3/4,z+1/4'
'y+1/4,-x+3/4,-z+1/4'
'-x+1/2,-y,z+1/2'
'x+1/2,y,-z+1/2'
'y+1/4,-x+1/4,z+3/4'
'-y+1/4,x+1/4,-z+3/4'
'x,-y,-z'
'-x,y,z'
'-y+1/4,-x+1/4,-z+3/4'
'y+1/4,x+1/4,z+3/4'
'-x+1/2,y,-z+1/2'
'x+1/2,-y,z+1/2'
'y+1/4,x+3/4,-z+1/4'
'-y+1/4,-x+3/4,z+1/4'
'x+1/2,y+1/2,z+1/2'
'-x+1/2,-y+1/2,-z+1/2'
'-y+3/4,x+1/4,z+3/4'
'y+3/4,-x+1/4,-z+3/4'
'-x,-y+1/2,z'
'x,y+1/2,-z'
'y+3/4,-x+3/4,z+1/4'
'-y+3/4,x+3/4,-z+1/4'
'x+1/2,-y+1/2,-z+1/2'
'-x+1/2,y+1/2,z+1/2'
'-y+3/4,-x+3/4,-z+1/4'
'y+3/4,x+3/4,z+1/4'
'-x,y+1/2,-z'
'x,-y+1/2,z'
'y+3/4,x+1/4,-z+3/4'
'-y+3/4,-x+1/4,z+3/4'
loop_
_atom_site_label
_atom_site_type_symbol
_atom_site_fract_x
_atom_site_fract_y
_atom_site_fract_z
_atom_site_occupancy
Be1 Be 0.000 0.000 0.000 1
Ag1 Ag 0.000 0.250 0.375 1
B1 B 0.000 0.250 0.875 1